Record 1
Material: Ba2Sb2Au15
Method: DFT, PBE
State: relaxed

Lattice parameters (Å, degrees): 7.493 7.493 7.493 84.56 84.56 84.56
Sites, in units of the cell vectors:
1 Au 0.342 0.342 0.835
2 Au 0.320 0.000 0.680
3 Au 0.000 0.680 0.320
4 Au 0.165 0.658 0.658
5 Au 0.680 0.320 0.000
6 Sb 0.899 0.899 0.899
7 Au 0.342 0.835 0.342
8 Au 0.000 0.320 0.680
9 Au 0.835 0.342 0.342
10 Au 0.658 0.165 0.658
11 Au 0.000 0.500 0.000
12 Ba 0.653 0.653 0.653
13 Au 0.500 0.000 0.000
14 Au 0.658 0.658 0.165
15 Au 0.000 0.000 0.500
16 Ba 0.347 0.347 0.347
17 Au 0.320 0.680 0.000
18 Sb 0.101 0.101 0.101
19 Au 0.680 0.000 0.320

SG	No. 166
formation energy (no corrections)	-263	meV/atom

---

Record 2
Material: Nd7ZnCl12
Method: DFT, PBE
State: relaxed

Lattice parameters (Å, degrees): 9.201 9.201 9.201 108.63 108.63 108.63
Sites, in units of the cell vectors:
1 Cl 0.920 0.305 0.785
2 Cl 0.165 0.390 0.480
3 Cl 0.305 0.785 0.920
4 Nd 0.500 0.500 0.500
5 Zn 0.000 0.000 0.000
6 Cl 0.610 0.520 0.835
7 Nd 0.658 0.871 0.958
8 Nd 0.042 0.342 0.129
9 Cl 0.080 0.695 0.215
10 Cl 0.480 0.165 0.390
11 Cl 0.215 0.080 0.695
12 Cl 0.835 0.610 0.520
13 Nd 0.958 0.658 0.871
14 Cl 0.390 0.480 0.165
15 Nd 0.871 0.958 0.658
16 Cl 0.695 0.215 0.080
17 Nd 0.342 0.129 0.042
18 Cl 0.520 0.835 0.610
19 Nd 0.129 0.042 0.342
20 Cl 0.785 0.920 0.305

SG	No. 148
formation energy (no corrections)	-1842	meV/atom

---

Record 3
Material: KMnAs
Method: DFT, PBE
State: relaxed

Lattice parameters (Å, degrees): 6.666 6.667 3.512 74.72 74.72 30.55
Last column: magnetic moment on the atom in μB.
Sites, in units of the cell vectors:
1 Mn 0.397 0.397 0.603  3.39
2 As 0.941 0.941 0.059  -0.09
3 K 0.662 0.662 0.338  -0.02

SG	No. 107
energy	-4.953	eV/atom

---

Record 4
Material: CoPbBr3
Method: DFT, PBE
State: relaxed

Lattice parameters (Å, degrees): 5.071 5.071 5.071 90.00 90.00 90.00
Last column: magnetic moment on the atom in μB.
Sites, in units of the cell vectors:
1 Br 0.500 0.000 0.000  0.05
2 Br 0.000 0.000 0.500  0.05
3 Pb 0.500 0.500 0.500  -0.11
4 Br 0.000 0.500 0.000  0.05
5 Co 0.000 0.000 0.000  1.95

SG	No. 221
offset from the most stable computed form	0.0000	eV/atom
formation energy (no corrections)	-222	meV/atom

---

Record 5
Material: Na2LaTlO
Method: DFT, PBE
State: relaxed

Lattice parameters (Å, degrees): 5.180 5.180 4.598 90.00 90.00 90.00
Sites, in units of the cell vectors:
1 Na 0.500 0.000 0.000
2 Na 0.000 0.500 0.000
3 La 0.000 0.000 0.500
4 O 0.000 0.000 0.000
5 Tl 0.500 0.500 0.500

SG	No. 123
formation energy (no corrections)	-1059	meV/atom

---

Record 6
Material: KCa2Al
Method: DFT, PBE
State: relaxed

Lattice parameters (Å, degrees): 5.174 5.174 9.197 84.16 84.16 43.85
Sites, in units of the cell vectors:
1 Ca 0.025 0.025 0.913
2 K 0.250 0.250 0.250
3 Ca 0.475 0.475 0.587
4 Al 0.750 0.750 0.750

SG	No. 12
energy	-2.089	eV/atom

---

Record 7
Material: ScTcMo2
Method: DFT, PBE
State: relaxed

Lattice parameters (Å, degrees): 5.273 5.273 5.273 144.78 128.43 63.99
Sites, in units of the cell vectors:
1 Mo 0.999 0.999 0.000
2 Sc 0.502 0.502 0.000
3 Tc 0.761 0.261 0.500
4 Mo 0.237 0.737 0.500

SG	No. 44
offset from the most stable computed form	0.0749	eV/atom

---

Record 8
Material: MgSbTe2Ir
Method: DFT, PBE
State: relaxed

Lattice parameters (Å, degrees): 5.526 5.526 4.913 90.00 90.00 90.00
Sites, in units of the cell vectors:
1 Te 0.000 0.500 0.000
2 Ir 0.000 0.000 0.000
3 Mg 0.500 0.500 0.500
4 Te 0.500 0.000 0.000
5 Sb 0.000 0.000 0.500

SG	No. 123
offset from the most stable computed form	0.0000	eV/atom
formation energy (no corrections)	331	meV/atom